8
Lattice="3.986 0.000 0.000 0.000 6.882 0.118 0.000 -2.407 6.438" Properties=species:S:1:pos:R:3 comment="TbTm2PuP4 | Alexandria | PBE | relaxed" crystal_system=monoclinic formation_energy_ev_per_atom=-1.483 spacegroup="No. 10" pbc="T T T"
P 1.993 3.375 4.911
P 1.993 1.100 1.646
P 0.000 4.577 1.719
P 0.000 -0.103 4.838
Pu 0.000 0.000 0.000
Tm 0.000 2.237 3.278
Tm 1.993 -1.204 3.219
Tb 1.993 3.441 0.059

***

6
Lattice="-0.253 -1.146 -4.968 -3.851 -2.845 -1.771 -3.604 2.121 -2.929" Properties=species:S:1:pos:R:3 comment="DyZn4Os | Alexandria | PBE | relaxed" crystal_system=cubic formation_energy_ev_per_atom=-0.186 spacegroup="No. 216" pbc="T T T"
Zn -2.881 0.268 -5.161
Zn -4.700 -0.592 -3.544
Zn -3.006 -2.243 -4.575
Zn -4.828 -1.171 -6.056
Os 0.000 0.000 0.000
Dy -1.927 -0.467 -2.417

***

12
Lattice="-3.971 1.799 2.540 1.076 -4.927 0.159 7.194 1.891 9.908" Properties=species:S:1:pos:R:3 comment="Er3Ga2Ag | Alexandria | PBE | relaxed" crystal_system=trigonal formation_energy_ev_per_atom=-0.496 e_above_lowest_polymorph_ev_per_atom=0.000 spacegroup="No. 164" pbc="T T T"
Er 2.392 -1.897 5.083
Er 6.012 -0.945 10.068
Er -1.713 -0.292 2.540
Er 5.427 1.427 7.474
Er 1.767 0.465 2.434
Er 1.906 0.660 7.524
Ga 0.628 -2.361 2.654
Ga 0.000 0.000 0.000
Ga 3.670 1.123 9.954
Ga 3.597 0.946 4.954
Ag 0.066 0.176 4.990
Ag 4.232 -1.413 7.617

***

4
Lattice="-0.384 -4.082 -3.596 4.322 -0.441 3.296 -0.977 -2.305 1.885" Properties=species:S:1:pos:R:3 comment="Ta2HgTe | Alexandria | PBE | relaxed" crystal_system=monoclinic e_above_lowest_polymorph_ev_per_atom=0.345 spacegroup="No. 12" raw_formation_energy_ev_per_atom=0.529 pbc="T T T"
Te -0.680 -3.193 -0.856
Hg 1.673 -1.373 2.590
Ta 0.000 0.000 0.000
Ta 1.969 -2.262 -0.150

***

3
Lattice="3.835 0.000 0.000 -1.918 3.321 0.000 0.000 0.000 6.679" Properties=species:S:1:pos:R:3 comment="SrLaN | Alexandria | PBE | relaxed" crystal_system=trigonal e_above_lowest_polymorph_ev_per_atom=0.043 spacegroup="No. 156" raw_formation_energy_ev_per_atom=-0.733 pbc="T T T"
N 1.918 1.107 2.521
La 0.000 2.214 3.526
Sr 0.000 0.000 0.632

***

4
Lattice="-1.978 -4.940 1.992 1.665 -4.889 -2.368 3.453 -3.503 2.844" Properties=species:S:1:pos:R:3 comment="LiAcTbEr | Alexandria | PBE | relaxed" crystal_system=cubic formation_energy_ev_per_atom=0.169 spacegroup="No. 216" pbc="T T T"
Li 0.000 0.000 0.000
Er 1.570 -6.666 1.234
Tb 2.354 -9.999 1.851
Ac 0.785 -3.333 0.617

***

16
Lattice="-2.503 -0.928 -2.161 1.183 -4.672 3.365 -7.639 3.390 7.392" Properties=species:S:1:pos:R:3 comment="CePu2BeN4 | Alexandria | PBE | relaxed" crystal_system=orthorhombic spacegroup="No. 63" raw_formation_energy_ev_per_atom=-1.239 pbc="T T T"
N -7.958 0.090 6.450
N -3.820 1.695 3.696
N -1.001 -2.299 2.147
N 0.000 0.000 0.000
N -2.891 -1.460 3.976
N -6.068 -0.749 4.621
N -3.171 -0.369 1.102
N -5.788 -1.841 7.494
Pu -4.666 -0.313 2.810
Pu -1.692 -1.633 -0.068
Pu -4.293 -1.897 5.786
Pu -7.267 -0.577 8.664
Be -1.935 -1.015 2.677
Be -7.024 -1.194 5.920
Ce -3.216 -3.737 2.601
Ce -5.743 1.528 5.996

***

8
Lattice="6.604 0.000 0.000 3.302 5.701 -0.320 3.302 0.807 5.653" Properties=species:S:1:pos:R:3 comment="Er2ScTl | Alexandria | PBE | relaxed" crystal_system=orthorhombic formation_energy_ev_per_atom=-0.164 e_above_lowest_polymorph_ev_per_atom=0.012 spacegroup="No. 74" pbc="T T T"
Er 8.255 4.172 0.923
Er 8.255 2.337 4.410
Er 4.953 2.337 4.410
Er 4.953 4.172 0.923
Sc 6.604 1.320 1.708
Sc 6.604 5.188 3.625
Tl 3.302 1.375 1.641
Tl 9.906 5.134 3.692

***

5
Lattice="-4.919 -0.638 -1.509 -0.372 -3.734 2.790 -1.585 3.055 3.878" Properties=species:S:1:pos:R:3 comment="TcSn2RhSe | Alexandria | PBE | relaxed" crystal_system=tetragonal spacegroup="No. 123" raw_formation_energy_ev_per_atom=0.585 pbc="T T T"
Sn -2.460 -0.319 -0.754
Sn -0.793 1.527 1.939
Rh -0.186 -1.867 1.395
Tc 0.000 0.000 0.000
Se -3.438 -0.659 2.579

***

5
Lattice="-2.506 2.506 5.016 2.506 -2.506 5.016 2.506 2.506 -5.016" Properties=species:S:1:pos:R:3 comment="KTc2Br2 | Alexandria | PBE | relaxed" crystal_system=tetragonal spacegroup="No. 139" raw_formation_energy_ev_per_atom=0.409 pbc="T T T"
Br 0.000 2.506 2.508
Br 2.506 0.000 2.508
Tc 0.000 0.000 6.041
Tc 0.000 0.000 3.992
K 0.000 0.000 0.000

***

5
Lattice="4.500 0.000 0.000 0.000 4.230 0.000 0.000 0.000 4.500" Properties=species:S:1:pos:R:3 comment="TaTi2CoCu | Alexandria | PBE | relaxed" crystal_system=tetragonal formation_energy_ev_per_atom=0.918 spacegroup="No. 123" pbc="T T T"
Co 0.000 2.115 0.000
Ti 2.250 0.000 0.000
Ti 0.000 0.000 2.250
Cu 0.000 0.000 0.000
Ta 2.250 2.115 2.250

***

14
Lattice="8.159 0.991 -3.044 -3.114 7.456 -2.682 -1.160 -1.700 7.812" Properties=species:S:1:pos:R:3 comment="NaTe2S4 | Alexandria | PBE | relaxed" crystal_system=triclinic e_above_lowest_polymorph_ev_per_atom=0.000 spacegroup="No. 1" raw_formation_energy_ev_per_atom=-0.209 pbc="T T T"
Te 3.314 2.546 3.112
Te 3.433 2.664 -1.032
Te 2.054 6.744 -2.751
Te -1.088 1.440 4.841
S 5.944 0.618 2.738
S 4.537 5.453 -2.640
S 1.613 0.249 4.606
S 1.052 4.171 -0.988
S 5.936 1.365 -1.089
S 0.328 3.814 3.161
S 2.667 0.925 0.376
S 4.758 3.962 1.810
Na -0.873 5.095 1.007
Na -3.087 7.416 -2.551